HoMnCr2O8: optimized geometry, GGA+U.

Properties
The calculated density comes out at 4807 kg/m3. The value obtained for the calculated total energy is -7.39 eV/atom. The magnetic moment comes out at 6.00 μB per cell.

Cell lengths 5.8932, 5.8932, 5.8932 Å; angles 106.38, 106.38, 115.84 degrees
Element x y z (fractional)
O1 0.4753 0.6617 0.8136
O2 0.9271 0.2378 0.3108
Ho1 0.2500 0.7500 0.5000
Cr1 0.7500 0.2500 0.5000
O3 0.3383 0.1519 0.8136
O4 0.7622 0.0729 0.6892
Cr2 0.5000 0.5000 0.0000
O5 0.9271 0.6163 0.6892
O6 0.8481 0.6617 0.1864
O7 0.3837 0.0729 0.3108
Mn1 0.0000 0.0000 0.0000
O8 0.3383 0.5247 0.1864